1.
A geometry-optimized Pu2PRh structure. Source: Alexandria via LeMat-Bulk, functional GGA-PBE.

Results
Electronic total energy in eV per atom: -10.705
Energy above the most stable polymorph in this dataset in meV/atom: 356.0
Energy relative to the elements in eV per atom: -0.349
Total magnetic moment in Bohr magnetons per cell: 2.6
DOS(E_F) in states/eV/f.u.: 7.60
Theoretical density in Mg/m³: 14.37

Geometry as extended XYZ:
```
8
Lattice="5.133 0.000 0.000 0.000 3.485 0.000 -0.318 0.000 8.033" Properties=species:S:1:pos:R:3 pbc="T T T"
Pu 0.615 0.871 0.529
Pu 1.679 2.613 3.676
Pu 3.136 0.871 4.357
Pu 4.200 2.613 7.504
P 0.505 0.871 5.648
P 4.310 2.613 2.385
Rh 1.911 2.613 6.667
Rh 2.904 0.871 1.366
```


2.
A geometry-optimized CaAu3C structure. Source: Alexandria via LeMat-Bulk, functional GGA-PBE.

Results
Electronic total energy in eV per atom: -3.991
Energy relative to the elements in eV per atom: 0.221
Total magnetic moment in Bohr magnetons per cell: 0.0
DOS(E_F) in states/eV/f.u.: 1.42
Theoretical density in Mg/m³: 11.83

Geometry as extended XYZ:
```
5
Lattice="4.486 0.000 0.000 0.000 4.486 0.000 0.000 0.000 4.486" Properties=species:S:1:pos:R:3 pbc="T T T"
Ca 0.000 0.000 0.000
Au 0.000 2.243 2.243
Au 2.243 0.000 2.243
Au 2.243 2.243 0.000
C 2.243 2.243 2.243
```


3.
A geometry-optimized Li3Zn2Ag2 structure. Source: Alexandria via LeMat-Bulk, functional GGA-PBE.

Results
Electronic total energy in eV per atom: -2.201
Energy relative to the elements in eV per atom: -0.202
Total magnetic moment in Bohr magnetons per cell: 0.0
DOS(E_F) in states/eV/f.u.: 2.57
Theoretical density in Mg/m³: 5.57

Geometry as extended XYZ:
```
7
Lattice="4.162 -2.058 0.000 4.162 2.058 0.000 -1.548 0.000 6.390" Properties=species:S:1:pos:R:3 pbc="T T T"
Li 0.000 0.000 0.000
Li 0.539 0.000 2.772
Li 6.236 0.000 3.619
Zn 1.030 0.000 5.473
Zn 5.746 0.000 0.917
Ag 3.158 0.000 1.771
Ag 3.618 0.000 4.619
```


4.
A geometry-optimized Hf2ThTi structure. Source: Alexandria via LeMat-Bulk, functional GGA-PBE.

Results
Electronic total energy in eV per atom: -8.638
Energy above the most stable polymorph in this dataset in meV/atom: 17.3
Energy relative to the elements in eV per atom: 0.167
Total magnetic moment in Bohr magnetons per cell: 0.0
DOS(E_F) in states/eV/f.u.: 5.44
Theoretical density in Mg/m³: 11.36

Geometry as extended XYZ:
```
4
Lattice="4.482 0.000 0.000 0.000 4.482 0.000 0.000 0.000 4.634" Properties=species:S:1:pos:R:3 pbc="T T T"
Hf 0.000 2.241 0.000
Hf 2.241 0.000 0.000
Th 0.000 0.000 2.317
Ti 2.241 2.241 2.317
```


5.
A geometry-optimized ErPa2Re structure. Source: Alexandria via LeMat-Bulk, functional GGA-PBE.

Results
Electronic total energy in eV per atom: -8.708
Energy above the most stable polymorph in this dataset in meV/atom: 162.6
Energy relative to the elements in eV per atom: 0.293
Total magnetic moment in Bohr magnetons per cell: 0.0
DOS(E_F) in states/eV/f.u.: 6.23
Theoretical density in Mg/m³: 12.60

Geometry as extended XYZ:
```
4
Lattice="1.880 1.085 8.776 -1.880 1.085 8.776 0.000 -2.171 8.776" Properties=species:S:1:pos:R:3 pbc="T T T"
Er 0.000 0.000 0.000
Pa 0.000 0.000 6.073
Pa 0.000 0.000 20.254
Re 0.000 0.000 13.164
```


6.
A geometry-optimized TbSmY2 structure. Source: Alexandria via LeMat-Bulk, functional GGA-PBE.

Results
Electronic total energy in eV per atom: -5.548
Energy above the most stable polymorph in this dataset in meV/atom: 11.1
Energy relative to the elements in eV per atom: 0.022
Total magnetic moment in Bohr magnetons per cell: 0.0
DOS(E_F) in states/eV/f.u.: 6.06
Theoretical density in Mg/m³: 6.22

Geometry as extended XYZ:
```
4
Lattice="5.071 0.000 0.000 0.000 5.071 0.000 0.000 0.000 5.060" Properties=species:S:1:pos:R:3 pbc="T T T"
Tb 0.000 0.000 0.000
Sm 2.536 2.536 0.000
Y 0.000 2.536 2.530
Y 2.536 0.000 2.530
```


7.
A geometry-optimized Pm5DyEr4 structure. Source: Alexandria via LeMat-Bulk, functional GGA-PBE.

Results
Electronic total energy in eV per atom: -4.625
Energy above the most stable polymorph in this dataset in meV/atom: 0.0
Energy relative to the elements in eV per atom: 0.036
Total magnetic moment in Bohr magnetons per cell: 0.0
DOS(E_F) in states/eV/f.u.: 13.53
Theoretical density in Mg/m³: 7.90

Geometry as extended XYZ:
```
10
Lattice="8.521 -1.774 0.000 8.521 1.774 0.000 -3.696 0.000 10.831" Properties=species:S:1:pos:R:3 pbc="T T T"
Pm 0.000 0.000 0.000
Pm 1.661 0.000 9.573
Pm 3.745 0.000 4.590
Pm 9.601 0.000 6.241
Pm 11.686 0.000 1.258
Dy -1.848 0.000 5.415
Er 0.681 0.000 3.214
Er 6.339 0.000 2.272
Er 7.007 0.000 8.559
Er 12.666 0.000 7.617
```


8.
A geometry-optimized SrMg3 structure. Source: Alexandria via LeMat-Bulk, functional GGA-PBE.

Results
Electronic total energy in eV per atom: -1.638
Energy relative to the elements in eV per atom: -0.022
Total magnetic moment in Bohr magnetons per cell: 0.0
DOS(E_F) in states/eV/f.u.: 2.20
Theoretical density in Mg/m³: 2.34

Geometry as extended XYZ:
```
4
Lattice="-2.726 2.726 3.832 2.726 -2.726 3.832 2.726 2.726 -3.832" Properties=species:S:1:pos:R:3 pbc="T T T"
Sr 0.000 0.000 0.000
Mg 2.726 0.000 1.916
Mg 0.000 0.000 3.832
Mg 0.000 2.726 1.916
```